## Sc8Ag2Pd (PBE)

Data for Sc8Ag2Pd after structural relaxation.

Cell lengths 4.869, 6.507, 8.430 Å; angles 108.41, 106.79, 90.00 degrees
Atoms (fractional coordinates):
Sc (0.594, 0.443, 0.188)
Sc (0.025, 0.781, 0.051)
Sc (0.663, 0.961, 0.327)
Sc (0.975, 0.219, 0.949)
Sc (0.194, 0.292, 0.389)
Sc (0.806, 0.708, 0.611)
Sc (0.406, 0.557, 0.812)
Sc (0.337, 0.039, 0.673)
Pd (0.500, 0.000, 0.000)
Ag (0.183, 0.701, 0.366)
Ag (0.817, 0.299, 0.634)

energy relative to the elements: -241 meV/atom
DOS(E_F): 0.94 states/eV/atom